1 | The following is a PBE calculation of AcSmAlSi after structural relaxation, from Alexandria. Values from VASP.

Summary:
SG: F-43m, No. 216
Magnetization in μB/f.u.: 0.0

```
&SYSTEM
  ibrav = 0, nat = 4, ntyp = 4
/
ATOMIC_SPECIES
Sm 150.36 Sm.upf
Al 26.98 Al.upf
Ac 227.00 Ac.upf
Si 28.09 Si.upf
ATOMIC_POSITIONS crystal
Sm 0.500 0.500 0.500
Al 0.250 0.250 0.250
Ac 0.000 0.000 0.000
Si 0.750 0.750 0.750
CELL_PARAMETERS angstrom
-0.637 -1.821 -4.981
4.270 -0.924 -3.072
1.386 -5.015 -1.208
```

---

2 | The following is a PBE calculation of AcSmAlSi after structural relaxation, from Alexandria. Values from VASP.

Summary:
SG: Amm2, No. 38
Magnetization in μB/f.u.: 0.0

```
&SYSTEM
  ibrav = 0, nat = 4, ntyp = 4
/
ATOMIC_SPECIES
Si 28.09 Si.upf
Sm 150.36 Sm.upf
Al 26.98 Al.upf
Ac 227.00 Ac.upf
ATOMIC_POSITIONS crystal
Si 0.331 0.000 0.662
Sm 0.029 0.000 0.057
Al 0.462 0.500 0.925
Ac 0.747 0.500 0.495
CELL_PARAMETERS angstrom
4.573 0.000 0.000
0.000 4.153 0.000
-2.286 0.000 5.863
```

---

2 wins, 0.256 eV/atom ahead of the next structure.

---

1 | The following is a PBE calculation of Ac2Al3Sn2 after structural relaxation, from Alexandria. Values from VASP.

Summary:
SG: C2/m, No. 12
Magnetization in μB/f.u.: 0.0

```
&SYSTEM
  ibrav = 0, nat = 7, ntyp = 3
/
ATOMIC_SPECIES
Sn 118.71 Sn.upf
Ac 227.00 Ac.upf
Al 26.98 Al.upf
ATOMIC_POSITIONS crystal
Sn 0.854 0.708 0.796
Sn 0.146 0.292 0.204
Ac 0.145 0.290 0.718
Ac 0.855 0.710 0.282
Al 0.565 0.130 0.369
Al 0.435 0.870 0.631
Al 0.500 0.000 0.000
CELL_PARAMETERS angstrom
4.459 0.000 0.000
-2.229 6.240 -0.307
0.000 -0.246 7.086
```

---

2 | The following is a PBE calculation of Ac2Al3Sn2 after structural relaxation, from Alexandria. Values from VASP.

Summary:
SG: Cmmm, No. 65
Magnetization in μB/f.u.: 0.0

```
&SYSTEM
  ibrav = 0, nat = 7, ntyp = 3
/
ATOMIC_SPECIES
Al 26.98 Al.upf
Ac 227.00 Ac.upf
Sn 118.71 Sn.upf
ATOMIC_POSITIONS crystal
Al 0.500 0.437 0.875
Al 0.000 0.000 0.000
Al 0.500 0.563 0.125
Ac 0.000 0.155 0.311
Ac 0.000 0.845 0.689
Sn 0.500 0.704 0.407
Sn 0.500 0.296 0.593
CELL_PARAMETERS angstrom
4.588 0.000 0.000
0.000 4.358 0.000
0.000 -2.179 10.571
```

---

1 wins, 0.344 eV/atom ahead of the next structure.

---

1 | The following is a PBE calculation of Ac3Al2Sn3 after structural relaxation, from Alexandria. Values from VASP.

Summary:
SG: Cmcm, No. 63
Magnetization in μB/f.u.: 0.0

```
&SYSTEM
  ibrav = 0, nat = 16, ntyp = 3
/
ATOMIC_SPECIES
Ac 227.00 Ac.upf
Al 26.98 Al.upf
Sn 118.71 Sn.upf
ATOMIC_POSITIONS crystal
Ac 0.648 0.295 0.452
Ac 0.594 0.189 0.750
Ac 0.648 0.295 0.048
Ac 0.406 0.811 0.250
Ac 0.352 0.705 0.952
Ac 0.352 0.705 0.548
Al 0.877 0.753 0.673
Al 0.877 0.753 0.827
Al 0.123 0.247 0.173
Al 0.123 0.247 0.327
Sn 0.065 0.130 0.918
Sn 0.065 0.130 0.582
Sn 0.306 0.613 0.750
Sn 0.935 0.870 0.418
Sn 0.935 0.870 0.082
Sn 0.694 0.387 0.250
CELL_PARAMETERS angstrom
-3.818 1.528 2.753
-1.780 -1.541 -6.061
-2.845 -15.886 4.874
```

---

2 | The following is a PBE calculation of Ac3Al2Sn3 after structural relaxation, from Alexandria. Values from VASP.

Summary:
SG: Cmcm, No. 63
Magnetization in μB/f.u.: 0.0

```
&SYSTEM
  ibrav = 0, nat = 16, ntyp = 3
/
ATOMIC_SPECIES
Ac 227.00 Ac.upf
Sn 118.71 Sn.upf
Al 26.98 Al.upf
ATOMIC_POSITIONS crystal
Ac 0.649 0.297 0.250
Ac 0.351 0.703 0.750
Ac 0.938 0.876 0.110
Ac 0.938 0.876 0.390
Ac 0.062 0.124 0.890
Ac 0.062 0.124 0.610
Sn 0.636 0.272 0.460
Sn 0.636 0.272 0.040
Sn 0.366 0.731 0.250
Sn 0.364 0.728 0.540
Sn 0.364 0.728 0.960
Sn 0.634 0.269 0.750
Al 0.224 0.449 0.391
Al 0.776 0.551 0.609
Al 0.776 0.551 0.891
Al 0.224 0.449 0.109
CELL_PARAMETERS angstrom
4.678 0.000 0.000
-2.339 6.224 0.000
0.000 0.000 16.516
```

---

2 wins, 0.067 eV/atom ahead of the next structure.

---

1 | The following is a PBE calculation of Ac4AlSn after structural relaxation, from Alexandria. Values from VASP.

Summary:
SG: C2/m, No. 12
Magnetization in μB/f.u.: 0.0

```
&SYSTEM
  ibrav = 0, nat = 6, ntyp = 3
/
ATOMIC_SPECIES
Ac 227.00 Ac.upf
Al 26.98 Al.upf
Sn 118.71 Sn.upf
ATOMIC_POSITIONS crystal
Ac 0.869 0.869 0.394
Ac 0.623 0.623 0.131
Ac 0.131 0.131 0.606
Ac 0.377 0.377 0.869
Al 0.500 0.500 0.500
Sn 0.000 0.000 0.000
CELL_PARAMETERS angstrom
5.549 0.746 0.439
2.109 5.186 0.439
1.928 1.493 9.174
```

---

2 | The following is a PBE calculation of Ac4AlSn after structural relaxation, from Alexandria. Values from VASP.

Summary:
SG: F-43m, No. 216
Magnetization in μB/f.u.: 0.1

```
&SYSTEM
  ibrav = 0, nat = 24, ntyp = 3
/
ATOMIC_SPECIES
Ac 227.00 Ac.upf
Sn 118.71 Sn.upf
Al 26.98 Al.upf
ATOMIC_POSITIONS crystal
Ac 0.556 0.944 0.944
Ac 0.191 0.809 0.191
Ac 0.191 0.191 0.809
Ac 0.375 0.375 0.375
Ac 0.944 0.556 0.944
Ac 0.944 0.944 0.556
Ac 0.375 0.875 0.375
Ac 0.556 0.944 0.556
Ac 0.556 0.556 0.944
Ac 0.375 0.375 0.875
Ac 0.191 0.809 0.809
Ac 0.944 0.556 0.556
Ac 0.809 0.809 0.191
Ac 0.809 0.191 0.809
Ac 0.875 0.375 0.375
Ac 0.809 0.191 0.191
Sn 0.598 0.598 0.598
Sn 0.598 0.207 0.598
Sn 0.598 0.598 0.207
Sn 0.207 0.598 0.598
Al 0.157 0.528 0.157
Al 0.528 0.157 0.157
Al 0.157 0.157 0.157
Al 0.157 0.157 0.528
CELL_PARAMETERS angstrom
9.423 0.000 5.440
3.141 8.884 5.440
0.000 0.000 10.881
```

---

2 wins, 0.059 eV/atom ahead of the next structure.